A:
Density functional theory data (PBE-GGA) for a geometry-optimized Cr2CdAs structure.

Output
Fermi-level density of states = 3.58 states/eV/f.u.
total magnetic moment = 0.00 μB per cell
SG = I-42d, No. 122

Cell and atoms, written as extended XYZ:
```
8
Lattice="3.887 0.000 0.000 0.000 3.887 0.000 1.943 1.943 9.019" Properties=species:S:1:pos:R:3 pbc="T T T"
Cr 2.509 0.972 2.255
Cr 1.378 2.915 2.255
Cr 2.915 3.321 6.765
Cr 4.859 4.452 6.765
As 1.943 1.943 0.000
As 1.943 3.887 4.510
Cd 0.000 0.000 0.000
Cd 3.887 1.943 4.510
```

---

B:
Density functional theory data (PBE-GGA) for a geometry-optimized Cr2CdAs structure.

Output
Fermi-level density of states = 2.12 states/eV/f.u.
total magnetic moment = 0.62 μB per cell
SG = P4mm, No. 99

Cell and atoms, written as extended XYZ:
```
4
Lattice="-0.613 -2.906 0.008 0.141 -0.037 -2.967 7.496 -1.579 0.375" Properties=species:S:1:pos:R:3 pbc="T T T"
As 3.171 -0.668 0.159
Cd 5.745 -2.732 -1.180
Cr 0.451 -0.095 0.023
Cr 1.405 -1.818 -1.397
```

---

B (0.522 eV/atom below the next structure)

---

A:
Density functional theory data (PBE-GGA) for a geometry-optimized Cr2CdAs structure.

Output
Fermi-level density of states = 2.24 states/eV/f.u.
total magnetic moment = 6.99 μB per cell
SG = Imm2, No. 44

Cell and atoms, written as extended XYZ:
```
4
Lattice="6.590 0.356 -0.075 4.449 4.875 0.075 -5.379 -2.912 2.480" Properties=species:S:1:pos:R:3 pbc="T T T"
As 5.189 2.459 0.000
Cd 2.837 -0.220 1.202
Cr 0.151 0.072 0.000
Cr 3.002 2.625 1.277
```

---

B:
Density functional theory data (PBE-GGA) for a geometry-optimized Cr2CdAs structure.

Output
Fermi-level density of states = 3.13 states/eV/f.u.
total magnetic moment = 7.67 μB per cell
SG = P4/mmm, No. 123

Cell and atoms, written as extended XYZ:
```
4
Lattice="-3.129 6.498 -0.510 -1.504 -3.890 -1.547 -3.131 0.571 1.605" Properties=species:S:1:pos:R:3 pbc="T T T"
As -2.317 -1.660 0.029
Cd -2.316 1.304 -1.028
Cr 0.000 0.000 0.000
Cr -3.130 3.534 0.548
```

---

A (0.008 eV/atom below the next structure)

---

A:
Density functional theory data (PBE-GGA) for a geometry-optimized Cr2CdAs structure.

Output
Fermi-level density of states = 2.43 states/eV/f.u.
total magnetic moment = 4.31 μB per cell
SG = P2/m, No. 10

Cell and atoms, written as extended XYZ:
```
4
Lattice="-2.394 -1.296 -1.612 -1.561 -0.376 2.622 -3.976 5.504 1.480" Properties=species:S:1:pos:R:3 pbc="T T T"
As -2.581 0.634 0.220
Cd -5.350 3.197 2.271
Cr -1.725 -0.143 2.678
Cr -2.604 2.330 1.995
```

---

B:
Density functional theory data (PBE-GGA) for a geometry-optimized Cr2CdAs structure.

Output
Fermi-level density of states = 3.03 states/eV/f.u.
total magnetic moment = 7.18 μB per cell
SG = I-4m2, No. 119

Cell and atoms, written as extended XYZ:
```
4
Lattice="-1.261 2.571 -4.649 2.833 -1.018 -4.556 -2.523 -2.775 3.969" Properties=species:S:1:pos:R:3 pbc="T T T"
As 0.786 0.776 -4.602
Cd -1.499 0.286 -2.641
Cr 0.000 0.000 0.000
Cr 0.548 -1.508 -2.595
```

---

A (0.131 eV/atom below the next structure)

---

A:
Density functional theory data (PBE-GGA) for a geometry-optimized Cr2CdAs structure.

Output
Fermi-level density of states = 2.29 states/eV/f.u.
total magnetic moment = 0.36 μB per cell
SG = Cm, No. 8

Cell and atoms, written as extended XYZ:
```
4
Lattice="-3.912 -1.770 1.077 -1.959 -3.956 0.332 1.106 -0.886 5.504" Properties=species:S:1:pos:R:3 pbc="T T T"
As -2.203 -3.266 3.811
Cd -1.280 -1.698 1.625
Cr 0.944 -0.901 5.123
Cr -3.503 -4.941 5.315
```

---

B:
Density functional theory data (PBE-GGA) for a geometry-optimized Cr2CdAs structure.

Output
Fermi-level density of states = 2.99 states/eV/f.u.
total magnetic moment = 0.46 μB per cell
SG = F-43m, No. 216

Cell and atoms, written as extended XYZ:
```
4
Lattice="4.607 0.000 0.000 2.304 3.990 0.000 2.304 1.330 3.762" Properties=species:S:1:pos:R:3 pbc="T T T"
As 4.607 2.660 1.881
Cd 6.911 3.990 2.821
Cr 0.000 0.000 0.000
Cr 2.304 1.330 0.940
```

---

C:
Density functional theory data (PBE-GGA) for a geometry-optimized Cr2CdAs structure.

Output
Fermi-level density of states = 3.04 states/eV/f.u.
total magnetic moment = 0.00 μB per cell
SG = R3m, No. 160

Cell and atoms, written as extended XYZ:
```
4
Lattice="8.931 0.008 0.005 8.457 2.872 0.005 8.457 1.401 2.507" Properties=species:S:1:pos:R:3 pbc="T T T"
As 13.340 2.210 1.299
Cd 19.185 3.178 1.868
Cr 25.433 4.213 2.477
Cr 6.653 1.102 0.648
```

---

D:
Density functional theory data (PBE-GGA) for a geometry-optimized Cr2CdAs structure.

Output
Fermi-level density of states = 2.49 states/eV/f.u.
total magnetic moment = 7.29 μB per cell
SG = I4/mmm, No. 139

Cell and atoms, written as extended XYZ:
```
4
Lattice="-0.797 -0.953 -4.739 -3.154 -3.749 0.012 -0.318 4.281 2.361" Properties=species:S:1:pos:R:3 pbc="T T T"
As -2.724 -0.910 0.005
Cd -1.546 0.488 -2.371
Cr 0.000 0.000 0.000
Cr -1.976 -2.351 -2.363
```

---

C (0.030 eV/atom below the next structure)

---

A:
Density functional theory data (PBE-GGA) for a geometry-optimized Cr2CdAs structure.

Output
Fermi-level density of states = 2.53 states/eV/f.u.
total magnetic moment = 7.95 μB per cell
SG = Fm-3m, No. 225

Cell and atoms, written as extended XYZ:
```
4
Lattice="0.000 3.293 3.293 3.293 0.000 3.293 3.293 3.293 0.000" Properties=species:S:1:pos:R:3 pbc="T T T"
Cr 1.647 1.647 1.647
Cr 4.940 4.940 4.940
As 0.000 0.000 0.000
Cd 3.293 3.293 3.293
```

---

B:
Density functional theory data (PBE-GGA) for a geometry-optimized Cr2CdAs structure.

Output
Fermi-level density of states = 4.45 states/eV/f.u.
total magnetic moment = 0.00 μB per cell
SG = R-3m, No. 166

Cell and atoms, written as extended XYZ:
```
4
Lattice="-3.582 -7.558 1.551 -0.864 -8.140 2.314 -2.657 -6.903 4.201" Properties=species:S:1:pos:R:3 pbc="T T T"
As -1.776 -5.651 2.016
Cd -5.327 -16.952 6.049
Cr -7.033 -22.383 7.987
Cr -3.620 -11.520 4.111
```

---

A (0.033 eV/atom below the next structure)

---

A:
Density functional theory data (PBE-GGA) for a geometry-optimized Cr2Cd2As structure.

Output
Fermi-level density of states = 3.14 states/eV/f.u.
total magnetic moment = 2.98 μB per cell
SG = I4/mmm, No. 139

Cell and atoms, written as extended XYZ:
```
5
Lattice="-1.873 -2.355 2.310 1.207 -2.961 -2.040 5.015 -3.132 3.987" Properties=species:S:1:pos:R:3 pbc="T T T"
Cr 0.453 -2.728 0.701
Cr 3.896 -5.720 3.556
As 0.000 0.000 0.000
Cd 1.405 -4.072 3.216
Cd 2.944 -4.376 1.041
```

---

B:
Density functional theory data (PBE-GGA) for a geometry-optimized Cr2Cd2As structure.

Output
Fermi-level density of states = 2.31 states/eV/f.u.
total magnetic moment = 1.99 μB per cell
SG = P4/mbm, No. 127

Cell and atoms, written as extended XYZ:
```
10
Lattice="6.060 0.000 0.000 0.000 6.060 0.000 0.000 0.000 4.632" Properties=species:S:1:pos:R:3 pbc="T T T"
Cr 2.272 5.302 0.000
Cr 5.302 3.788 0.000
Cr 3.788 0.758 0.000
Cr 0.758 2.272 0.000
As 0.000 0.000 0.000
As 3.030 3.030 0.000
Cd 1.034 4.064 2.316
Cd 4.064 5.025 2.316
Cd 5.025 1.995 2.316
Cd 1.995 1.034 2.316
```

---

B (0.458 eV/atom below the next structure)

---

A:
Density functional theory data (PBE-GGA) for a geometry-optimized Cs2Cd2As structure.

Output
Fermi-level density of states = 1.13 states/eV/f.u.
total magnetic moment = 0.00 μB per cell
SG = I4/mmm, No. 139

Cell and atoms, written as extended XYZ:
```
5
Lattice="7.469 0.000 0.000 0.000 7.469 0.000 3.735 3.735 4.158" Properties=species:S:1:pos:R:3 pbc="T T T"
Cs 7.469 3.735 2.079
Cs 3.735 7.469 2.079
As 0.000 0.000 0.000
Cd 3.735 3.735 1.484
Cd 7.469 7.469 2.674
```

---

B:
Density functional theory data (PBE-GGA) for a geometry-optimized Cs2Cd2As structure.

Output
Fermi-level density of states = 3.25 states/eV/f.u.
total magnetic moment = 0.00 μB per cell
SG = I4/mmm, No. 139

Cell and atoms, written as extended XYZ:
```
5
Lattice="4.152 0.000 0.000 0.000 4.152 0.000 2.076 2.076 12.075" Properties=species:S:1:pos:R:3 pbc="T T T"
Cs 2.076 2.076 2.237
Cs 4.152 4.152 9.838
As 0.000 0.000 0.000
Cd 4.152 2.076 6.038
Cd 2.076 4.152 6.038
```

---

A (0.069 eV/atom below the next structure)

---

A:
Density functional theory data (PBE-GGA) for a geometry-optimized CsCdAsSe2 structure.

Output
Fermi-level density of states = 8.52 states/eV/f.u.
total magnetic moment = 4.72 μB per cell
SG = P4/mmm, No. 123

Cell and atoms, written as extended XYZ:
```
5
Lattice="-3.487 4.125 -2.713 -4.898 -2.470 2.538 0.682 4.010 5.219" Properties=species:S:1:pos:R:3 pbc="T T T"
Cs 0.000 0.000 0.000
As 0.341 2.005 2.610
Se -2.449 -1.235 1.269
Se -1.743 2.062 -1.357
Cd -3.851 2.832 2.522
```

---

B:
Density functional theory data (PBE-GGA) for a geometry-optimized CsCdAsSe2 structure.

Output
Fermi-level density of states = 4.84 states/eV/f.u.
total magnetic moment = 0.81 μB per cell
SG = P4/mmm, No. 123

Cell and atoms, written as extended XYZ:
```
5
Lattice="5.515 0.000 0.000 0.000 5.515 0.000 0.000 0.000 5.292" Properties=species:S:1:pos:R:3 pbc="T T T"
Cs 2.757 2.757 2.646
As 0.000 0.000 2.646
Se 0.000 2.757 0.000
Se 2.757 0.000 0.000
Cd 0.000 0.000 0.000
```

---

B (1.115 eV/atom below the next structure)